Compound: CsHoNiBr6
Source: Alexandria
Functional: GGA-PBE
Structure: relaxed

Geometry as extended XYZ:
```
9
Lattice="7.006 0.000 0.000 -3.503 6.068 0.000 0.000 0.000 8.226" Properties=species:S:1:pos:R:3 pbc="T T T"
Cs 0.000 0.000 0.000
Ho 0.000 4.045 4.113
Ni 3.503 2.023 4.113
Br 2.607 0.136 5.648
Br 1.421 2.189 2.577
Br 4.400 0.136 2.577
Br 2.318 3.742 5.648
Br 5.585 2.189 5.648
Br 4.688 3.742 2.577
```

Summary:
The magnetization comes out at 2.05 μB/cell. The calculated density is 4.0 g/cm³. The total energy comes out at -3.70 eV per atom. As for the crystal system: trigonal.